Record 1
# SrFeIr4 PBE-GGA relaxed
# Symmetry: F-43m
data_SrFeIr4
_chemical_formula_sum 'Sr1 Fe1 Ir4'
_cell_length_a 5.317
_cell_length_b 5.317
_cell_length_c 5.317
_cell_angle_alpha 60.00
_cell_angle_beta 60.00
_cell_angle_gamma 60.00
_space_group_name_H-M_alt 'P 1'
_space_group_IT_number 1
loop_
_space_group_symop_operation_xyz
'x,y,z'
loop_
_atom_site_label
_atom_site_type_symbol
_atom_site_fract_x
_atom_site_fract_y
_atom_site_fract_z
Sr1 Sr 0.000 0.000 0.000
Fe1 Fe 0.750 0.750 0.750
Ir1 Ir 0.375 0.375 0.375
Ir2 Ir 0.375 0.375 0.874
Ir3 Ir 0.375 0.874 0.375
Ir4 Ir 0.874 0.375 0.375

=====

Record 2
# SrFeIr2 PBE-GGA relaxed
# Symmetry: P4mm
# Excess energy over the best structure of this formula in the dataset in meV per atom: 408
data_SrFeIr2
_chemical_formula_sum 'Sr1 Fe1 Ir2'
_cell_length_a 3.183
_cell_length_b 3.183
_cell_length_c 7.383
_cell_angle_alpha 90.00
_cell_angle_beta 90.00
_cell_angle_gamma 90.00
_space_group_name_H-M_alt 'P 1'
_space_group_IT_number 1
loop_
_space_group_symop_operation_xyz
'x,y,z'
loop_
_atom_site_label
_atom_site_type_symbol
_atom_site_fract_x
_atom_site_fract_y
_atom_site_fract_z
Sr1 Sr 0.000 0.000 0.000
Fe1 Fe 0.500 0.500 0.336
Ir1 Ir 0.000 0.000 0.481
Ir2 Ir 0.500 0.500 0.695

=====

Record 3
# SrFeIr2 PBE-GGA relaxed
# Symmetry: R-3m
# Excess energy over the best structure of this formula in the dataset in meV per atom: 543
data_SrFeIr2
_chemical_formula_sum 'Sr1 Fe1 Ir2'
_cell_length_a 9.120
_cell_length_b 9.120
_cell_length_c 9.120
_cell_angle_alpha 18.97
_cell_angle_beta 18.97
_cell_angle_gamma 18.97
_space_group_name_H-M_alt 'P 1'
_space_group_IT_number 1
loop_
_space_group_symop_operation_xyz
'x,y,z'
loop_
_atom_site_label
_atom_site_type_symbol
_atom_site_fract_x
_atom_site_fract_y
_atom_site_fract_z
Sr1 Sr 0.000 0.000 0.000
Fe1 Fe 0.500 0.500 0.500
Ir1 Ir 0.237 0.237 0.237
Ir2 Ir 0.763 0.763 0.763

=====

Record 4
# SrFeIr2 PBE-GGA relaxed
# Symmetry: P4/mmm
# Excess energy over the best structure of this formula in the dataset in meV per atom: 604
data_SrFeIr2
_chemical_formula_sum 'Sr1 Fe1 Ir2'
_cell_length_a 4.245
_cell_length_b 4.245
_cell_length_c 3.985
_cell_angle_alpha 90.00
_cell_angle_beta 90.00
_cell_angle_gamma 90.00
_space_group_name_H-M_alt 'P 1'
_space_group_IT_number 1
loop_
_space_group_symop_operation_xyz
'x,y,z'
loop_
_atom_site_label
_atom_site_type_symbol
_atom_site_fract_x
_atom_site_fract_y
_atom_site_fract_z
Sr1 Sr 0.000 0.000 0.000
Fe1 Fe 0.500 0.500 0.000
Ir1 Ir 0.000 0.500 0.500
Ir2 Ir 0.500 0.000 0.500

=====

Record 5
# SrFe2Ir PBE-GGA relaxed
# Symmetry: R3m
data_SrFe2Ir
_chemical_formula_sum 'Sr1 Fe2 Ir1'
_cell_length_a 9.153
_cell_length_b 9.153
_cell_length_c 9.153
_cell_angle_alpha 18.69
_cell_angle_beta 18.69
_cell_angle_gamma 18.69
_space_group_name_H-M_alt 'P 1'
_space_group_IT_number 1
loop_
_space_group_symop_operation_xyz
'x,y,z'
loop_
_atom_site_label
_atom_site_type_symbol
_atom_site_fract_x
_atom_site_fract_y
_atom_site_fract_z
Sr1 Sr 0.000 0.000 0.000
Fe1 Fe 0.499 0.499 0.499
Fe2 Fe 0.767 0.767 0.767
Ir1 Ir 0.238 0.238 0.238

=====

Record 6
# SrFeIr PBE-GGA relaxed
# Symmetry: P4/nmm
# Excess energy over the best structure of this formula in the dataset in meV per atom: 0
data_SrFeIr
_chemical_formula_sum 'Sr2 Fe2 Ir2'
_cell_length_a 4.363
_cell_length_b 4.363
_cell_length_c 7.086
_cell_angle_alpha 90.00
_cell_angle_beta 90.00
_cell_angle_gamma 90.00
_space_group_name_H-M_alt 'P 1'
_space_group_IT_number 1
loop_
_space_group_symop_operation_xyz
'x,y,z'
loop_
_atom_site_label
_atom_site_type_symbol
_atom_site_fract_x
_atom_site_fract_y
_atom_site_fract_z
Sr1 Sr 0.250 0.250 0.164
Sr2 Sr 0.750 0.750 0.836
Fe1 Fe 0.250 0.750 0.500
Fe2 Fe 0.750 0.250 0.500
Ir1 Ir 0.250 0.250 0.673
Ir2 Ir 0.750 0.750 0.327

=====

Number 1: calculated formation energy 0.1831 eV per atom, calculated volume 106.3 Å³ per cell, total energy -0.5450 Ry per atom. Number 2: calculated formation energy 0.3714 eV per atom, calculated volume 74.8 Å³ per cell, total energy -0.4847 Ry per atom. Number 3: calculated formation energy 0.5056 eV per atom, calculated volume 70.1 Å³ per cell, total energy -0.4749 Ry per atom. Number 4: calculated formation energy 0.5671 eV per atom, calculated volume 71.8 Å³ per cell, total energy -0.4704 Ry per atom. Number 5: calculated formation energy 0.7068 eV per atom, calculated volume 68.8 Å³ per cell, total energy -0.4528 Ry per atom. Number 6: calculated formation energy 0.0151 eV per atom, calculated volume 134.9 Å³ per cell, total energy -0.4645 Ry per atom.